A plane-wave DFT calculation with GGA-PBE was carried out for a geometry-optimized GdDyPa structure.

Structure (POSCAR):
```
GdDyPa
1.0
-1.7354 -4.9588 0.2294
1.5766 -3.1599 3.8966
-3.3872 -1.4290 3.7602
Dy Gd Pa
1 1 1
Direct
0.0000 0.0000 0.0000
0.2500 0.2500 0.2500
0.7500 0.7500 0.7500
```

Its symmetry is F-43m. The formation energy is 1.092 eV/atom. The total moment comes out at 0.856 μB per atom.